1.
A plane-wave DFT calculation with PBE was carried out for crystalline BeFeCoRe at its relaxed geometry.

extended XYZ file:
```
16
Lattice="5.656 0.000 0.000 0.000 5.656 0.000 0.000 0.000 5.656" Properties=species:S:1:pos:R:3 pbc="T T T"
Be 0.000 0.000 0.000
Be 0.000 2.828 2.828
Be 2.828 0.000 2.828
Be 2.828 2.828 0.000
Fe 1.414 1.414 4.242
Fe 1.414 4.242 1.414
Fe 4.242 1.414 1.414
Fe 4.242 4.242 4.242
Co 1.414 1.414 1.414
Co 1.414 4.242 4.242
Co 4.242 1.414 4.242
Co 4.242 4.242 1.414
Re 0.000 0.000 2.828
Re 0.000 2.828 0.000
Re 2.828 0.000 0.000
Re 2.828 2.828 2.828
```

Summary:
Total DFT energy (no corrections) = -7.91 eV per atom

2.
A plane-wave DFT calculation with PBE was carried out for crystalline BeFeCoRh at its relaxed geometry.

extended XYZ file:
```
16
Lattice="5.660 0.000 0.000 0.000 5.660 0.000 0.000 0.000 5.660" Properties=species:S:1:pos:R:3 pbc="T T T"
Be 0.000 0.000 0.000
Be 0.000 2.830 2.830
Be 2.830 0.000 2.830
Be 2.830 2.830 0.000
Fe 0.000 0.000 2.830
Fe 0.000 2.830 0.000
Fe 2.830 0.000 0.000
Fe 2.830 2.830 2.830
Co 1.415 1.415 1.415
Co 1.415 4.245 4.245
Co 4.245 1.415 4.245
Co 4.245 4.245 1.415
Rh 1.415 1.415 4.245
Rh 1.415 4.245 1.415
Rh 4.245 1.415 1.415
Rh 4.245 4.245 4.245
```

Summary:
Total DFT energy (no corrections) = -6.89 eV per atom

The size of the total moment results, record by record, are as follows: 7.38 17.82 Bohr magnetons per cell.